[1]
Density functional theory data (meta-GGA SCAN) for AlVMoO7 at its PBEsol-relaxed geometry.

abc: 5.3682 8.1718 12.7894
angles: 90.00 90.00 90.00
With the nearest neighbours (Å) after each atom.
Sites, in units of the cell vectors:
V 0.7500 0.5691 0.0129  1 O 1.59
O 0.2500 0.2190 0.4079  1 V 1.59
O 0.7500 0.1777 0.7465  1 Mo 1.76, 1 Al 1.86
O 0.4789 0.5973 0.9300  2 V 1.82-1.97, 1 Al 1.92
V 0.2500 0.0691 0.4871  1 O 1.59
O 0.2500 0.6777 0.7535  1 Mo 1.76, 1 Al 1.86
Al 0.7500 0.2656 0.6122  6 O 1.85-1.92
Al 0.2500 0.7656 0.8878  6 O 1.85-1.92
O 0.9922 0.4160 0.6478  1 Mo 1.75, 1 Al 1.85
O 0.7500 0.7190 0.0921  1 V 1.59
V 0.2500 0.4309 0.9871  1 O 1.59
O 0.4789 0.9027 0.4300  2 V 1.82-1.97, 1 Al 1.92
Mo 0.7500 0.0466 0.8556  4 O 1.75-1.76
O 0.2500 0.2810 0.9079  1 V 1.59
O 0.5211 0.0973 0.5700  2 V 1.82-1.97, 1 Al 1.92
O 0.7500 0.3223 0.2465  1 Mo 1.76, 1 Al 1.86
O 0.5078 0.4160 0.6478  1 Mo 1.75, 1 Al 1.85
O 0.9789 0.0973 0.5700  2 V 1.82-1.97, 1 Al 1.92
O 0.7500 0.1583 0.9728  1 Mo 1.76, 1 Al 1.89
O 0.7500 0.7810 0.5921  1 V 1.59
O 0.4922 0.9160 0.8522  1 Mo 1.75, 1 Al 1.85
O 0.4922 0.5840 0.3522  1 Mo 1.75, 1 Al 1.85
O 0.0211 0.5973 0.9300  2 V 1.82-1.97, 1 Al 1.92
O 0.0211 0.9027 0.4300  2 V 1.82-1.97, 1 Al 1.92
O 0.5078 0.0840 0.1478  1 Mo 1.75, 1 Al 1.85
V 0.7500 0.9309 0.5129  1 O 1.59
O 0.9789 0.4027 0.0700  2 V 1.82-1.97, 1 Al 1.92
Mo 0.2500 0.5466 0.6444  4 O 1.75-1.76
O 0.2500 0.6583 0.5272  1 Mo 1.76, 1 Al 1.89
O 0.9922 0.0840 0.1478  1 Mo 1.75, 1 Al 1.85
Al 0.2500 0.7344 0.3878  6 O 1.85-1.92
O 0.0078 0.5840 0.3522  1 Mo 1.75, 1 Al 1.85
Mo 0.7500 0.4534 0.3555  4 O 1.75-1.76
Al 0.7500 0.2344 0.1122  6 O 1.85-1.92
O 0.5211 0.4027 0.0700  2 V 1.82-1.97, 1 Al 1.92
O 0.2500 0.8417 0.0272  1 Mo 1.76, 1 Al 1.89
O 0.2500 0.8223 0.2535  1 Mo 1.76, 1 Al 1.86
O 0.0078 0.9160 0.8522  1 Mo 1.75, 1 Al 1.85
Mo 0.2500 0.9534 0.1444  4 O 1.75-1.76
O 0.7500 0.3417 0.4728  1 Mo 1.76, 1 Al 1.89

## Properties
As for the uncorrected formation energy: -248 kJ/mol of atoms. The density of states at the Fermi level comes out at 0.00 states/eV per atom. Its crystal system is orthorhombic. Its electronic total energy is -12.940 eV/atom. The space-group type is Pnma (62).

[2]
Density functional theory data (meta-GGA SCAN) for Na2LiSn2 at its PBEsol-relaxed geometry.

abc: 4.2662 4.2662 7.9468
angles: 105.57 105.57 90.00
With the nearest neighbours (Å) after each atom.
Sites, in units of the cell vectors:
Sn 0.4065 0.4065 0.8131  1 Sn 2.75
Na 0.7500 0.2500 0.5000  4 Na 3.02, 4 Sn 3.14
Sn 0.5935 0.5935 0.1869  1 Sn 2.75
Li 0.0000 0.0000 0.0000  8 Sn 3.31
Na 0.2500 0.7500 0.5000  4 Na 3.02, 4 Sn 3.14

## Properties
The calculation puts the formation energy at -0.3 eV/f.u. The density of states at the Fermi level comes out at 0.46 states/eV per atom. Its crystal system is tetragonal. Its electronic total energy is -16.594 eV/atom. The space-group type is I4/mmm (139).

[3]
Density functional theory data (meta-GGA SCAN) for Na3TeOs at its PBEsol-relaxed geometry.

abc: 5.5333 5.5333 5.5333
angles: 90.00 90.00 90.00
With the nearest neighbours (Å) after each atom.
Sites, in units of the cell vectors:
Na 0.0000 0.5000 0.0000  2 Os 2.77
Te 0.5000 0.5000 0.5000  12 Na 3.91
Os 0.0000 0.0000 0.0000  6 Na 2.77
Na 0.0000 0.0000 0.5000  2 Os 2.77
Na 0.5000 0.0000 0.0000  2 Os 2.77

## Properties
As for the uncorrected formation energy: 83 kJ/mol of atoms. Its crystal system is cubic. Its electronic total energy is -23.494 eV/atom. The space-group type is Pm-3m (221).

[4]
Density functional theory data (meta-GGA SCAN) for TaSeBr2 at its PBEsol-relaxed geometry.

abc: 4.9290 7.0119 7.0119
angles: 82.90 69.42 69.42
With the nearest neighbours (Å) after each atom.
Sites, in units of the cell vectors:
Br 0.8750 0.3677 0.1323  2 Ta 2.64
Se 0.5000 0.0000 0.0000  2 Ta 2.46
Br 0.3750 0.6323 0.8677  2 Ta 2.64
Se 0.2500 0.5000 0.5000  2 Ta 2.46
Ta 0.0000 0.0000 0.0000  2 Se 2.46, 4 Br 2.64
Ta 0.7500 0.5000 0.5000  2 Se 2.46, 4 Br 2.64
Br 0.7573 0.8677 0.3677  2 Ta 2.64
Br 0.9927 0.1323 0.6323  2 Ta 2.64

## Properties
As for the uncorrected formation energy: -39 kJ/mol of atoms. The density of states at the Fermi level comes out at 0.27 states/eV per atom. Its crystal system is tetragonal. Its electronic total energy is -31.795 eV/atom. The space-group type is I-42d (122).

[5]
Density functional theory data (meta-GGA SCAN) for BaNbI2O at its PBEsol-relaxed geometry.

abc: 4.3832 6.4829 6.4829
angles: 90.00 90.00 90.00
With the nearest neighbours (Å) after each atom.
Sites, in units of the cell vectors:
Nb 0.5000 0.5000 0.5000  8 I 3.91
O 0.5000 0.0000 0.0000  2 Ba 2.19
I 0.0000 0.0000 0.5000  2 Ba 3.24
I 0.0000 0.5000 0.0000  2 Ba 3.24
Ba 0.0000 0.0000 0.0000  2 O 2.19

## Properties
As for the uncorrected formation energy: -7 kJ/mol of atoms. The density of states at the Fermi level comes out at 0.35 states/eV per atom. Its crystal system is tetragonal. Its electronic total energy is -30.556 eV/atom. The space-group type is P4/mmm (123).

[6]
Density functional theory data (meta-GGA SCAN) for Tm4B6O15 at its PBEsol-relaxed geometry.

abc: 4.3292 6.1556 18.4548
angles: 95.97 90.00 110.59
With the nearest neighbours (Å) after each atom.
Sites, in units of the cell vectors:
B 0.6100 0.8115 0.0867  4 O 1.46-1.49
B 0.6636 0.8609 0.3054  4 O 1.43-1.50
O 0.4502 0.1637 0.4293  2 B 1.46-1.49
O 0.8451 0.0349 0.1202  2 B 1.47-1.49
Tm 0.0775 0.7273 0.1961  5 O 2.20-2.46
O 0.5091 0.4200 0.5510  2 B 1.51-1.54
O 0.0593 0.3689 0.2045  1 B 1.45
Tm 0.6498 0.7273 0.6961  5 O 2.20-2.46
B 0.1973 0.8609 0.8054  4 O 1.43-1.50
O 0.8758 0.0000 0.2500  2 B 1.50
O 0.3364 0.8671 0.3025  1 B 1.43
O 0.3096 0.3689 0.7045  1 B 1.45
B 0.7986 0.1885 0.4133  4 O 1.46-1.49
Tm 0.0655 0.7262 0.3991  5 O 2.18-2.39
Tm 0.9345 0.2738 0.6009  5 O 2.18-2.39
Tm 0.3393 0.2738 0.1009  5 O 2.18-2.39
O 0.5306 0.8671 0.8025  1 B 1.43
O 0.9197 0.3560 0.3603  1 B 1.46
O 0.0803 0.6440 0.6397  1 B 1.46
O 0.6636 0.1329 0.6975  1 B 1.43
B 0.3565 0.3360 0.4751  4 O 1.45-1.54
B 0.2014 0.8115 0.5867  4 O 1.46-1.49
O 0.1549 0.9651 0.8798  2 B 1.47-1.49
B 0.3900 0.1885 0.9133  4 O 1.46-1.49
O 0.7135 0.1637 0.9293  2 B 1.46-1.49
O 0.5637 0.6440 0.1397  1 B 1.46
Tm 0.6607 0.7262 0.8991  5 O 2.18-2.39
O 0.9407 0.6311 0.7955  1 B 1.45
B 0.6435 0.6640 0.5249  4 O 1.45-1.54
Tm 0.3502 0.2727 0.3039  5 O 2.20-2.46
B 0.9796 0.3360 0.9751  4 O 1.45-1.54
O 0.0892 0.5800 0.9490  2 B 1.51-1.54
Tm 0.9225 0.2727 0.8039  5 O 2.20-2.46
O 0.9989 0.7462 0.5187  2 B 1.45-1.47
O 0.0011 0.2538 0.4813  2 B 1.45-1.47
B 0.0204 0.6640 0.0249  4 O 1.45-1.54
O 0.2527 0.2538 0.9813  2 B 1.45-1.47
O 0.4694 0.1329 0.1975  1 B 1.43
O 0.9108 0.4200 0.0510  2 B 1.51-1.54
O 0.4909 0.5800 0.4490  2 B 1.51-1.54
O 0.1242 0.0000 0.7500  2 B 1.50
O 0.2865 0.8363 0.0707  2 B 1.46-1.49
O 0.6904 0.6311 0.2955  1 B 1.45
O 0.7473 0.7462 0.0187  2 B 1.45-1.47
O 0.1898 0.0349 0.6202  2 B 1.47-1.49
B 0.3364 0.1391 0.6946  4 O 1.43-1.50
O 0.4363 0.3560 0.8603  1 B 1.46
O 0.8102 0.9651 0.3798  2 B 1.47-1.49
B 0.8027 0.1391 0.1946  4 O 1.43-1.50
O 0.5498 0.8363 0.5707  2 B 1.46-1.49

## Properties
As for the uncorrected formation energy: -314 kJ/mol of atoms. The density of states at the Fermi level comes out at 0.00 states/eV per atom. Its crystal system is monoclinic. Its electronic total energy is -17.072 eV/atom. The space-group type is C2/c (15).

[7]
Density functional theory data (meta-GGA SCAN) for La2Mg2Rh at its PBEsol-relaxed geometry.

abc: 3.7721 3.7721 9.7215
angles: 101.19 101.19 90.00
With the nearest neighbours (Å) after each atom.
Sites, in units of the cell vectors:
Mg 0.2500 0.7500 0.5000  4 Mg 2.67
La 0.5838 0.5838 0.1677  4 Rh 3.09, 1 La 3.14
La 0.4162 0.4162 0.8323  4 Rh 3.09, 1 La 3.14
Rh 0.0000 0.0000 0.0000  8 La 3.09
Mg 0.7500 0.2500 0.5000  4 Mg 2.67

## Properties
The calculation puts the formation energy at -0.6 eV/f.u. The density of states at the Fermi level comes out at 0.68 states/eV per atom. Its crystal system is tetragonal. Its electronic total energy is -26.109 eV/atom. The space-group type is I4/mmm (139).

[8]
Density functional theory data (meta-GGA SCAN) for PS2ClO at its PBEsol-relaxed geometry.

abc: 4.4292 4.4292 4.6384
angles: 90.00 90.00 90.00
With the nearest neighbours (Å) after each atom.
Sites, in units of the cell vectors:
S 0.5000 0.0000 0.0000  2 P 2.21
O 0.5000 0.5000 0.5000  4 Cl 3.13, 8 S 3.21
Cl 0.0000 0.0000 0.5000  2 P 2.32
P 0.0000 0.0000 0.0000  4 S 2.21, 2 Cl 2.32
S 0.0000 0.5000 0.0000  2 P 2.21

## Properties
As for the uncorrected formation energy: 89 kJ/mol of atoms. The density of states at the Fermi level comes out at 0.84 states/eV per atom. Its crystal system is tetragonal. The energy above the lowest structure with this stoichiometry comes out at 0 meV/atom. Its electronic total energy is -7.853 eV/atom. The space-group type is P4/mmm (123).

Look up the electronic total energy of the fifth one.
-30.556 eV/atom